# 1
# K3TaW

An optimized crystal structure of K3TaW (PBE, the Alexandria database).

Geometry as CIF:
```
data_K3TaW
_chemical_formula_sum 'K3 Ta1 W1'
_cell_length_a 5.9917
_cell_length_b 5.9917
_cell_length_c 5.9917
_cell_angle_alpha 90.00
_cell_angle_beta 90.00
_cell_angle_gamma 90.00
_space_group_name_H-M_alt 'P m -3 m'
_space_group_IT_number 221
_space_group_name_Hall '-P 4 2 3'
loop_
_atom_site_label
_atom_site_type_symbol
_atom_site_fract_x
_atom_site_fract_y
_atom_site_fract_z
_atom_site_occupancy
K1 K 0.0000 0.0000 0.5000 1
Ta1 Ta 0.5000 0.5000 0.5000 1
W1 W 0.0000 0.0000 0.0000 1
```


# 2
# KTa2W

An optimized crystal structure of KTa2W (PBE, the Alexandria database).

Geometry as CIF:
```
data_KTa2W
_chemical_formula_sum 'K2 Ta4 W2'
_cell_length_a 2.9652
_cell_length_b 5.7259
_cell_length_c 10.4926
_cell_angle_alpha 90.00
_cell_angle_beta 90.00
_cell_angle_gamma 90.00
_space_group_name_H-M_alt 'I m m m'
_space_group_IT_number 71
_space_group_name_Hall '-I 2 2'
loop_
_atom_site_label
_atom_site_type_symbol
_atom_site_fract_x
_atom_site_fract_y
_atom_site_fract_z
_atom_site_occupancy
K1 K 0.0000 0.0000 0.0000 1
Ta1 Ta 0.0000 0.5000 0.2071 1
W1 W 0.0000 0.0000 0.5000 1
```


# 3
# KTa2W

An optimized crystal structure of KTa2W (PBE, the Alexandria database).

Geometry as CIF:
```
data_KTa2W
_chemical_formula_sum 'K3 Ta6 W3'
_cell_length_a 2.8867
_cell_length_b 2.8867
_cell_length_c 34.6787
_cell_angle_alpha 90.00
_cell_angle_beta 90.00
_cell_angle_gamma 120.00
_space_group_name_H-M_alt 'R -3 m'
_space_group_IT_number 166
_space_group_name_Hall '-R 3 2"'
loop_
_atom_site_label
_atom_site_type_symbol
_atom_site_fract_x
_atom_site_fract_y
_atom_site_fract_z
_atom_site_occupancy
K1 K 0.0000 0.0000 0.0000 1
Ta1 Ta 0.0000 0.0000 0.2384 1
W1 W 0.0000 0.0000 0.5000 1
```


# 4
# K2TaW

An optimized crystal structure of K2TaW (PBE, the Alexandria database).

Geometry as CIF:
```
data_K2TaW
_chemical_formula_sum 'K2 Ta1 W1'
_cell_length_a 3.1123
_cell_length_b 4.6944
_cell_length_c 6.4463
_cell_angle_alpha 90.00
_cell_angle_beta 90.00
_cell_angle_gamma 90.00
_space_group_name_H-M_alt 'P m m m'
_space_group_IT_number 47
_space_group_name_Hall '-P 2 2'
loop_
_atom_site_label
_atom_site_type_symbol
_atom_site_fract_x
_atom_site_fract_y
_atom_site_fract_z
_atom_site_occupancy
K1 K 0.0000 0.0000 0.0000 1
K2 K 0.5000 0.5000 0.0000 1
Ta1 Ta 0.0000 0.5000 0.5000 1
W1 W 0.5000 0.0000 0.5000 1
```


# 5
# K2TaW

An optimized crystal structure of K2TaW (PBE, the Alexandria database).

Geometry as CIF:
```
data_K2TaW
_chemical_formula_sum 'K4 Ta2 W2'
_cell_length_a 5.5428
_cell_length_b 12.7073
_cell_length_c 2.7698
_cell_angle_alpha 90.00
_cell_angle_beta 90.00
_cell_angle_gamma 90.00
_space_group_name_H-M_alt 'C m m m'
_space_group_IT_number 65
_space_group_name_Hall '-C 2 2'
loop_
_atom_site_label
_atom_site_type_symbol
_atom_site_fract_x
_atom_site_fract_y
_atom_site_fract_z
_atom_site_occupancy
K1 K 0.2500 0.2500 0.0000 1
Ta1 Ta 0.0000 0.0000 0.5000 1
W1 W 0.0000 0.5000 0.5000 1
```


# 6
# K2TaW

An optimized crystal structure of K2TaW (PBE, the Alexandria database).

Geometry as CIF:
```
data_K2TaW
_chemical_formula_sum 'K6 Ta3 W3'
_cell_length_a 3.0032
_cell_length_b 3.0032
_cell_length_c 38.2443
_cell_angle_alpha 90.00
_cell_angle_beta 90.00
_cell_angle_gamma 120.00
_space_group_name_H-M_alt 'R 3 m'
_space_group_IT_number 160
_space_group_name_Hall 'R 3 -2"'
loop_
_atom_site_label
_atom_site_type_symbol
_atom_site_fract_x
_atom_site_fract_y
_atom_site_fract_z
_atom_site_occupancy
K1 K 0.0000 0.0000 0.0000 1
K2 K 0.0000 0.0000 0.2260 1
Ta1 Ta 0.0000 0.0000 0.4754 1
W1 W 0.0000 0.0000 0.7458 1
```


In meV per atom, the distance to the lowest polymorph of the same formula values for the records above are, in order, 0, 658, 241, 551, 747, 364.
In eV/atom, the calculated formation energy values for the records above are, in order, 3.133, 1.277, 0.860, 1.422, 1.618, 1.235.